A relaxed Nd2YZn9 crystal, computed with GGA-PBE.

a = 9.303 Å, b = 9.303 Å, c = 9.303 Å
α = 34.34°, β = 34.34°, γ = 34.34°
Sites, in units of the cell vectors:
Nd1 0.140 0.140 0.140
Nd2 0.860 0.860 0.860
Y1 0.000 0.000 0.000
Zn1 0.077 0.582 0.582
Zn2 0.335 0.335 0.335
Zn3 0.418 0.418 0.923
Zn4 0.418 0.923 0.418
Zn5 0.500 0.500 0.500
Zn6 0.582 0.077 0.582
Zn7 0.582 0.582 0.077
Zn8 0.665 0.665 0.665
Zn9 0.923 0.418 0.418

Space-group type   No. 166
Mass density   7.02 g/cm³
Energy of formation from the pure elements   -0.29 eV per atom